The following is a PBE calculation of a geometry-optimized ZrBe2Cd structure, from the Alexandria database.

Cell lengths 3.7926, 3.3825, 5.0440 Å; angles 70.61, 90.00, 90.00 degrees
Sites, in units of the cell vectors:
Be1 0.0000 0.1846 0.0056
Cd1 0.0000 0.4794 0.4162
Zr1 0.5000 0.7721 0.8275
Be2 0.5000 0.0640 0.2507

- Space group: Pm
- E_tot: -4.1670 eV/atom